Here is a geometry-optimized RbLa2Cr structure from Alexandria via LeMat-Bulk. Energies are from PBE.

Cell and atoms, written as CIF:
```
data_RbLa2Cr
_symmetry_space_group_name_H-M 'P 1'
_symmetry_Int_Tables_number 1
_cell_length_a 5.494
_cell_length_b 5.494
_cell_length_c 5.494
_cell_angle_alpha 60.00
_cell_angle_beta 60.00
_cell_angle_gamma 60.00
loop_
_symmetry_equiv_pos_as_xyz
'x,y,z'
loop_
_atom_site_label
_atom_site_fract_x
_atom_site_fract_y
_atom_site_fract_z
_atom_site_occupancy
Cr1 0.000 0.000 0.000 1
Rb1 0.500 0.500 0.500 1
La1 0.250 0.250 0.250 1
La2 0.750 0.750 0.750 1
```

Summary:
The energy above the most stable polymorph in this dataset is 1.73 eV/f.u. Its formation energy from the elements is 1.115 eV per atom.